Record 1
# Th6BiPt GGA-PBE optimized geometry
# Uncorrected energy in eV per cell: -55.50
# Total magnetic moment in μB/f.u.: 0.000
# Calculated formation energy in meV per atom: -133
data_Th6BiPt
_chemical_formula_sum 'Th6 Bi1 Pt1'
_cell_length_a 6.758
_cell_length_b 6.758
_cell_length_c 6.758
_cell_angle_alpha 107.58
_cell_angle_beta 107.58
_cell_angle_gamma 107.58
_symmetry_space_group_name_H-M 'P 1'
_symmetry_Int_Tables_number 1
_symmetry_space_group_name_Hall 'P 1'
loop_
_atom_site_label
_atom_site_fract_x
_atom_site_fract_y
_atom_site_fract_z
_atom_site_occupancy
Th1 0.238 0.238 0.688 1
Th2 0.238 0.688 0.238 1
Th3 0.312 0.762 0.762 1
Th4 0.688 0.238 0.238 1
Th5 0.762 0.312 0.762 1
Th6 0.762 0.762 0.312 1
Bi1 0.000 0.000 0.000 1
Pt1 0.500 0.500 0.500 1


Record 2
# Th5Bi2Pt GGA-PBE optimized geometry
# Uncorrected energy in eV per cell: -110.78
# Total magnetic moment in μB/f.u.: 0.000
# Calculated formation energy in meV per atom: -561
data_Th5Bi2Pt
_chemical_formula_sum 'Th10 Bi4 Pt2'
_cell_length_a 8.403
_cell_length_b 12.816
_cell_length_c 4.613
_cell_angle_alpha 90.00
_cell_angle_beta 90.00
_cell_angle_gamma 90.00
_symmetry_space_group_name_H-M 'P 1'
_symmetry_Int_Tables_number 1
_symmetry_space_group_name_Hall 'P 1'
loop_
_atom_site_label
_atom_site_fract_x
_atom_site_fract_y
_atom_site_fract_z
_atom_site_occupancy
Th1 0.000 0.000 0.000 1
Th2 0.135 0.297 0.000 1
Th3 0.204 0.562 0.500 1
Th4 0.296 0.062 0.500 1
Th5 0.365 0.797 0.000 1
Th6 0.500 0.500 0.000 1
Th7 0.635 0.203 0.000 1
Th8 0.704 0.938 0.500 1
Th9 0.796 0.438 0.500 1
Th10 0.865 0.703 0.000 1
Bi1 0.085 0.822 0.500 1
Bi2 0.415 0.322 0.500 1
Bi3 0.585 0.678 0.500 1
Bi4 0.915 0.178 0.500 1
Pt1 0.000 0.500 0.000 1
Pt2 0.500 0.000 0.000 1


Record 3
# Th5Bi3Pt GGA-PBE optimized geometry
# Uncorrected energy in eV per cell: -122.55
# Total magnetic moment in μB/f.u.: 0.000
# Calculated formation energy in meV per atom: -722
data_Th5Bi3Pt
_chemical_formula_sum 'Th10 Bi6 Pt2'
_cell_length_a 9.688
_cell_length_b 9.688
_cell_length_c 6.597
_cell_angle_alpha 90.00
_cell_angle_beta 90.00
_cell_angle_gamma 120.00
_symmetry_space_group_name_H-M 'P 1'
_symmetry_Int_Tables_number 1
_symmetry_space_group_name_Hall 'P 1'
loop_
_atom_site_label
_atom_site_fract_x
_atom_site_fract_y
_atom_site_fract_z
_atom_site_occupancy
Th1 0.000 0.254 0.250 1
Th2 0.000 0.746 0.750 1
Th3 0.254 0.000 0.250 1
Th4 0.254 0.254 0.750 1
Th5 0.333 0.667 0.000 1
Th6 0.333 0.667 0.500 1
Th7 0.667 0.333 0.000 1
Th8 0.667 0.333 0.500 1
Th9 0.746 0.000 0.750 1
Th10 0.746 0.746 0.250 1
Bi1 0.000 0.389 0.750 1
Bi2 0.000 0.611 0.250 1
Bi3 0.389 0.000 0.750 1
Bi4 0.389 0.389 0.250 1
Bi5 0.611 0.000 0.250 1
Bi6 0.611 0.611 0.750 1
Pt1 0.000 0.000 0.000 1
Pt2 0.000 0.000 0.500 1